# 1
This record from Alexandria via LeMat-Bulk describes a PBEsol-optimized structure of SbPtSe2. The functional is SCAN.

Summary:
space-group type: No. 166
ΔE_f (raw): 0.259 eV per atom
M_tot: 0.00 μB per formula unit

Cell: 8.1429 8.1429 8.1429 Å, 28.45 28.45 28.45°
Fractional coordinates of all 4 atoms:
Sb (0.0000, 0.0000, 0.0000)
Pt (0.5000, 0.5000, 0.5000)
Se (0.4016, 0.4016, 0.4016)
Se (0.5984, 0.5984, 0.5984)

***

# 2
This record from Alexandria via LeMat-Bulk describes a PBEsol-optimized structure of P2HWS. The functional is SCAN.

Summary:
space-group type: No. 123
calculated total energy: -98.51 eV per cell
M_tot: 0.00 μB per formula unit

Cell: 3.5613 3.5613 4.6787 Å, 90.00 90.00 90.00°
Fractional coordinates of all 5 atoms:
P (0.0000, 0.5000, 0.0000)
P (0.5000, 0.0000, 0.0000)
H (0.0000, 0.0000, 0.0000)
W (0.5000, 0.5000, 0.5000)
S (0.0000, 0.0000, 0.5000)

***

# 3
This record from Alexandria via LeMat-Bulk describes a PBEsol-optimized structure of K2NaTl2. The functional is SCAN.

Summary:
space-group type: No. 127
energy of formation: -0.59 eV/f.u.
M_tot: 0.00 μB per formula unit

Cell: 8.1728 8.1728 5.7669 Å, 90.00 90.00 90.00°
Fractional coordinates of all 10 atoms:
K (0.1756, 0.3244, 0.0000)
K (0.3244, 0.8244, 0.0000)
K (0.6756, 0.1756, 0.0000)
K (0.8244, 0.6756, 0.0000)
Na (0.0000, 0.0000, 0.5000)
Na (0.5000, 0.5000, 0.5000)
Tl (0.1277, 0.6277, 0.5000)
Tl (0.3723, 0.1277, 0.5000)
Tl (0.6277, 0.8723, 0.5000)
Tl (0.8723, 0.3723, 0.5000)

***

# 4
This record from Alexandria via LeMat-Bulk describes a PBEsol-optimized structure of Sc2Te. The functional is SCAN.

Summary:
space-group type: No. 141
ΔE_f (raw): -0.586 eV per atom
M_tot: 1.44 μB per formula unit

Cell: 6.1355 6.1355 6.1355 Å, 124.89 124.89 81.72°
Fractional coordinates of all 6 atoms:
Sc (0.0635, 0.3135, 0.7500)
Sc (0.3135, 0.0635, 0.2500)
Sc (0.6865, 0.9365, 0.7500)
Sc (0.9365, 0.6865, 0.2500)
Te (0.3750, 0.6250, 0.7500)
Te (0.6250, 0.3750, 0.2500)

***

# 5
This record from Alexandria via LeMat-Bulk describes a PBEsol-optimized structure of Zr2Tc. The functional is SCAN.

Summary:
space-group type: No. 63
energy of formation: -1.04 eV/f.u.
M_tot: 0.00 μB per formula unit

Cell: 7.2881 7.2881 4.8216 Å, 90.00 90.00 153.87°
Fractional coordinates of all 6 atoms:
Zr (0.0751, 0.9249, 0.7500)
Zr (0.2281, 0.7719, 0.2500)
Zr (0.7719, 0.2281, 0.7500)
Zr (0.9249, 0.0751, 0.2500)
Tc (0.4207, 0.5793, 0.7500)
Tc (0.5793, 0.4207, 0.2500)

***

# 6
This record from Alexandria via LeMat-Bulk describes a PBEsol-optimized structure of TbCoO3. The functional is SCAN.

Summary:
space-group type: No. 62
ΔE_f (raw): -2.719 eV per atom
M_tot: 0.00 μB per formula unit

Cell: 5.4306 7.3232 5.0873 Å, 90.00 90.00 90.00°
Fractional coordinates of all 20 atoms:
Tb (0.0736, 0.2500, 0.0210)
Tb (0.4264, 0.7500, 0.5210)
Tb (0.5736, 0.2500, 0.4790)
Tb (0.9264, 0.7500, 0.9790)
Co (0.0000, 0.0000, 0.5000)
Co (0.0000, 0.5000, 0.5000)
Co (0.5000, 0.0000, 0.0000)
Co (0.5000, 0.5000, 0.0000)
O (0.0234, 0.7500, 0.4041)
O (0.1994, 0.5478, 0.8076)
O (0.1994, 0.9522, 0.8076)
O (0.3006, 0.0478, 0.3076)
O (0.3006, 0.4522, 0.3076)
O (0.4766, 0.2500, 0.9041)
O (0.5234, 0.7500, 0.0959)
O (0.6994, 0.5478, 0.6924)
O (0.6994, 0.9522, 0.6924)
O (0.8006, 0.0478, 0.1924)
O (0.8006, 0.4522, 0.1924)
O (0.9766, 0.2500, 0.5959)

***

# 7
This record from Alexandria via LeMat-Bulk describes a PBEsol-optimized structure of Li5CuSO2. The functional is SCAN.

Summary:
space-group type: No. 123
ΔE_f (raw): -1.593 eV per atom
M_tot: 0.00 μB per formula unit

Cell: 3.8047 3.8047 7.6106 Å, 90.00 90.00 90.00°
Fractional coordinates of all 9 atoms:
Li (0.0000, 0.0000, 0.0000)
Li (0.0000, 0.5000, 0.2227)
Li (0.0000, 0.5000, 0.7773)
Li (0.5000, 0.0000, 0.2227)
Li (0.5000, 0.0000, 0.7773)
Cu (0.0000, 0.0000, 0.5000)
S (0.5000, 0.5000, 0.0000)
O (0.0000, 0.0000, 0.2639)
O (0.0000, 0.0000, 0.7361)

***

# 8
This record from Alexandria via LeMat-Bulk describes a PBEsol-optimized structure of K2Na2Nd4Nb2O13. The functional is SCAN.

Summary:
space-group type: No. 15
ΔE_f (raw): -3.051 eV per atom
M_tot: 0.00 μB per formula unit

Cell: 12.5108 12.5108 11.3062 Å, 115.78 115.78 26.34°
Fractional coordinates of all 46 atoms:
K (0.1983, 0.2995, 0.1321)
K (0.2995, 0.1983, 0.6321)
K (0.7005, 0.8017, 0.3679)
K (0.8017, 0.7005, 0.8679)
Na (0.3041, 0.3776, 0.4765)
Na (0.3776, 0.3041, 0.9765)
Na (0.6224, 0.6959, 0.0235)
Na (0.6959, 0.6224, 0.5235)
Nd (0.0176, 0.1098, 0.9500)
Nd (0.1098, 0.0176, 0.4500)
Nd (0.3986, 0.4740, 0.3258)
Nd (0.4740, 0.3986, 0.8258)
Nd (0.5260, 0.6014, 0.1742)
Nd (0.6014, 0.5260, 0.6742)
Nd (0.8902, 0.9824, 0.5500)
Nd (0.9824, 0.8902, 0.0500)
Nb (0.1193, 0.1850, 0.2834)
Nb (0.1850, 0.1193, 0.7834)
Nb (0.8150, 0.8807, 0.2166)
Nb (0.8807, 0.8150, 0.7166)
O (0.0630, 0.6746, 0.3609)
O (0.0918, 0.6374, 0.1227)
O (0.1279, 0.6664, 0.6579)
O (0.1379, 0.5968, 0.8601)
O (0.1737, 0.2995, 0.3772)
O (0.2505, 0.7473, 0.5232)
O (0.2527, 0.7495, 0.9768)
O (0.2575, 0.7425, 0.2500)
O (0.2995, 0.1737, 0.8772)
O (0.3254, 0.9370, 0.1391)
O (0.3336, 0.8721, 0.8421)
O (0.3626, 0.9082, 0.3773)
O (0.4032, 0.8621, 0.6399)
O (0.5968, 0.1379, 0.3601)
O (0.6374, 0.0918, 0.6227)
O (0.6664, 0.1279, 0.1579)
O (0.6746, 0.0630, 0.8609)
O (0.7005, 0.8263, 0.1228)
O (0.7425, 0.2575, 0.7500)
O (0.7473, 0.2505, 0.0232)
O (0.7495, 0.2527, 0.4768)
O (0.8263, 0.7005, 0.6228)
O (0.8621, 0.4032, 0.1399)
O (0.8721, 0.3336, 0.3421)
O (0.9082, 0.3626, 0.8773)
O (0.9370, 0.3254, 0.6391)

***

# 9
This record from Alexandria via LeMat-Bulk describes a PBEsol-optimized structure of Ta2FePt. The functional is SCAN.

Summary:
space-group type: No. 123
energy of formation: -1.55 eV/f.u.
M_tot: 1.02 μB per formula unit

Cell: 2.8189 2.8189 7.4532 Å, 90.00 90.00 90.00°
Fractional coordinates of all 4 atoms:
Ta (0.0000, 0.0000, 0.2244)
Ta (0.0000, 0.0000, 0.7756)
Fe (0.5000, 0.5000, 0.0000)
Pt (0.5000, 0.5000, 0.5000)

***

# 10
This record from Alexandria via LeMat-Bulk describes a PBEsol-optimized structure of KNbNi2Br. The functional is SCAN.

Summary:
space-group type: No. 123
ΔE_f (raw): 2.236 eV per atom
M_tot: 3.79 μB per formula unit

Cell: 4.3293 4.3293 5.8925 Å, 90.00 90.00 90.00°
Fractional coordinates of all 5 atoms:
K (0.0000, 0.0000, 0.0000)
Nb (0.0000, 0.0000, 0.5000)
Ni (0.0000, 0.5000, 0.0000)
Ni (0.5000, 0.0000, 0.0000)
Br (0.5000, 0.5000, 0.5000)

***

# 11
This record from Alexandria via LeMat-Bulk describes a PBEsol-optimized structure of BaNiOs. The functional is SCAN.

Summary:
space-group type: No. 44
energy of formation: 2.09 eV/f.u.
M_tot: 0.00 μB per formula unit

Cell: 6.0561 6.0561 6.0561 Å, 152.40 143.50 46.37°
Fractional coordinates of all 3 atoms:
Ba (0.0000, 0.0000, 0.0000)
Ni (0.2758, 0.2758, 0.0000)
Os (0.7166, 0.7166, 0.0000)

***

# 12
This record from Alexandria via LeMat-Bulk describes a PBEsol-optimized structure of MgZnPt2. The functional is SCAN.

Summary:
space-group type: No. 65
energy of formation: -3.29 eV/f.u.
M_tot: 0.00 μB per formula unit

Cell: 4.5355 4.5355 2.8904 Å, 90.00 90.00 101.27°
Fractional coordinates of all 4 atoms:
Mg (0.0000, 0.0000, 0.0000)
Zn (0.5000, 0.5000, 0.0000)
Pt (0.0000, 0.5000, 0.5000)
Pt (0.5000, 0.0000, 0.5000)

***

# 13
This record from Alexandria via LeMat-Bulk describes a PBEsol-optimized structure of CsNaW2. The functional is SCAN.

Summary:
space-group type: No. 225
energy of formation: 12.68 eV/f.u.
M_tot: 0.01 μB per formula unit

Cell: 4.7849 4.7849 4.7849 Å, 60.00 60.00 60.00°
Fractional coordinates of all 4 atoms:
Cs (0.0000, 0.0000, 0.0000)
Na (0.5000, 0.5000, 0.5000)
W (0.2500, 0.2500, 0.2500)
W (0.7500, 0.7500, 0.7500)

***

# 14
This record from Alexandria via LeMat-Bulk describes a PBEsol-optimized structure of ZrZn20Ni2. The functional is SCAN.

Summary:
space-group type: No. 227
energy of formation: -4.75 eV/f.u.
M_tot: 0.00 μB per formula unit

Cell: 9.6598 9.6598 9.6598 Å, 60.00 60.00 60.00°
Fractional coordinates of all 46 atoms:
Zr (0.1250, 0.1250, 0.1250)
Zr (0.8750, 0.8750, 0.8750)
Zn (0.0000, 0.0000, 0.0000)
Zn (0.0000, 0.0000, 0.5000)
Zn (0.0000, 0.5000, 0.0000)
Zn (0.0565, 0.3232, 0.3232)
Zn (0.0565, 0.3232, 0.7971)
Zn (0.0565, 0.7971, 0.3232)
Zn (0.2029, 0.6768, 0.6768)
Zn (0.2029, 0.6768, 0.9435)
Zn (0.2029, 0.9435, 0.6768)
Zn (0.2380, 0.2380, 0.5120)
Zn (0.2380, 0.5120, 0.2380)
Zn (0.2380, 0.5120, 0.5120)
Zn (0.3232, 0.0565, 0.3232)
Zn (0.3232, 0.0565, 0.7971)
Zn (0.3232, 0.3232, 0.0565)
Zn (0.3232, 0.3232, 0.7971)
Zn (0.3232, 0.7971, 0.0565)
Zn (0.3232, 0.7971, 0.3232)
Zn (0.4880, 0.4880, 0.7620)
Zn (0.4880, 0.7620, 0.4880)
Zn (0.4880, 0.7620, 0.7620)
Zn (0.5000, 0.0000, 0.0000)
Zn (0.5120, 0.2380, 0.2380)
Zn (0.5120, 0.2380, 0.5120)
Zn (0.5120, 0.5120, 0.2380)
Zn (0.6768, 0.2029, 0.6768)
Zn (0.6768, 0.2029, 0.9435)
Zn (0.6768, 0.6768, 0.2029)
Zn (0.6768, 0.6768, 0.9435)
Zn (0.6768, 0.9435, 0.2029)
Zn (0.6768, 0.9435, 0.6768)
Zn (0.7620, 0.4880, 0.4880)
Zn (0.7620, 0.4880, 0.7620)
Zn (0.7620, 0.7620, 0.4880)
Zn (0.7971, 0.0565, 0.3232)
Zn (0.7971, 0.3232, 0.0565)
Zn (0.7971, 0.3232, 0.3232)
Zn (0.9435, 0.2029, 0.6768)
Zn (0.9435, 0.6768, 0.2029)
Zn (0.9435, 0.6768, 0.6768)
Ni (0.0000, 0.5000, 0.5000)
Ni (0.5000, 0.0000, 0.5000)
Ni (0.5000, 0.5000, 0.0000)
Ni (0.5000, 0.5000, 0.5000)

***

# 15
This record from Alexandria via LeMat-Bulk describes a PBEsol-optimized structure of K2CaSb. The functional is SCAN.

Summary:
space-group type: No. 99
ΔE_f (raw): -0.423 eV per atom
M_tot: 0.00 μB per formula unit

Cell: 4.2845 4.2845 9.8876 Å, 90.00 90.00 90.00°
Fractional coordinates of all 4 atoms:
K (0.0000, 0.0000, 0.0000)
K (0.5000, 0.5000, 0.3738)
Ca (0.5000, 0.5000, 0.7071)
Sb (0.0000, 0.0000, 0.6293)

***

# 16
This record from Alexandria via LeMat-Bulk describes a PBEsol-optimized structure of ReOs2Rh. The functional is SCAN.

Summary:
space-group type: No. 25
energy of formation: 0.21 eV/f.u.
M_tot: 0.00 μB per formula unit

Cell: 2.6948 3.8426 5.3977 Å, 90.00 90.00 90.00°
Fractional coordinates of all 4 atoms:
Re (0.0000, 0.0000, 0.0000)
Os (0.0000, 0.0000, 0.5066)
Os (0.5000, 0.5000, 0.7467)
Rh (0.5000, 0.5000, 0.2495)

***

# 17
This record from Alexandria via LeMat-Bulk describes a PBEsol-optimized structure of Be2IrRu. The functional is SCAN.

Summary:
space-group type: No. 8
energy of formation: -1.63 eV/f.u.
M_tot: 0.00 μB per formula unit

Cell: 4.4522 4.4522 4.0023 Å, 107.25 107.25 35.35°
Fractional coordinates of all 4 atoms:
Be (0.0000, 0.0000, 0.0000)
Be (0.7342, 0.7342, 0.3229)
Ir (0.2492, 0.2492, 0.8459)
Ru (0.4881, 0.4881, 0.4810)

***

# 18
This record from Alexandria via LeMat-Bulk describes a PBEsol-optimized structure of RbNiWSe2. The functional is SCAN.

Summary:
space-group type: No. 123
ΔE_f (raw): 0.042 eV per atom
M_tot: 0.00 μB per formula unit

Cell: 4.9217 4.9217 4.7215 Å, 90.00 90.00 90.00°
Fractional coordinates of all 5 atoms:
Rb (0.0000, 0.0000, 0.0000)
Ni (0.5000, 0.5000, 0.0000)
W (0.5000, 0.5000, 0.5000)
Se (0.0000, 0.5000, 0.5000)
Se (0.5000, 0.0000, 0.5000)

***

# 19
This record from Alexandria via LeMat-Bulk describes a PBEsol-optimized structure of ZrSc2TcO. The functional is SCAN.

Summary:
space-group type: No. 123
ΔE_f (raw): 0.476 eV per atom
M_tot: 0.00 μB per formula unit

Cell: 4.9228 4.9228 4.8171 Å, 90.00 90.00 90.00°
Fractional coordinates of all 5 atoms:
Zr (0.0000, 0.0000, 0.0000)
Sc (0.0000, 0.5000, 0.5000)
Sc (0.5000, 0.0000, 0.5000)
Tc (0.0000, 0.0000, 0.5000)
O (0.5000, 0.5000, 0.0000)

***

# 20
This record from Alexandria via LeMat-Bulk describes a PBEsol-optimized structure of NdNi. The functional is SCAN.

Summary:
space-group type: No. 63
energy of formation: -0.61 eV/f.u.
M_tot: 0.02 μB per formula unit

Cell: 5.5050 5.5050 4.2611 Å, 90.00 90.00 140.05°
Fractional coordinates of all 4 atoms:
Nd (0.1382, 0.8618, 0.7500)
Nd (0.8618, 0.1382, 0.2500)
Ni (0.4287, 0.5713, 0.7500)
Ni (0.5713, 0.4287, 0.2500)

***

# 21
This record from Alexandria via LeMat-Bulk describes a PBEsol-optimized structure of Cr2ReHg. The functional is SCAN.

Summary:
space-group type: No. 8
energy of formation: 2.22 eV/f.u.
M_tot: 0.00 μB per formula unit

Cell: 4.9097 4.9097 4.4909 Å, 109.26 109.26 33.62°
Fractional coordinates of all 4 atoms:
Cr (0.0000, 0.0000, 0.0000)
Cr (0.6939, 0.6939, 0.2346)
Re (0.4474, 0.4474, 0.4420)
Hg (0.2315, 0.2315, 0.7631)

***

# 22
This record from Alexandria via LeMat-Bulk describes a PBEsol-optimized structure of LaYSb2. The functional is SCAN.

Summary:
space-group type: No. 99
ΔE_f (raw): -0.333 eV per atom
M_tot: 0.05 μB per formula unit

Cell: 3.3904 3.3904 10.4765 Å, 90.00 90.00 90.00°
Fractional coordinates of all 4 atoms:
La (0.0000, 0.0000, 0.0000)
Y (0.5000, 0.5000, 0.6950)
Sb (0.0000, 0.0000, 0.4962)
Sb (0.5000, 0.5000, 0.2167)

***

# 23
This record from Alexandria via LeMat-Bulk describes a PBEsol-optimized structure of LiAgAu2. The functional is SCAN.

Summary:
space-group type: No. 8
energy of formation: -1.31 eV/f.u.
M_tot: 0.00 μB per formula unit

Cell: 4.9209 4.9209 4.8977 Å, 98.11 98.11 33.35°
Fractional coordinates of all 4 atoms:
Li (0.0000, 0.0000, 0.0000)
Ag (0.7563, 0.7563, 0.2626)
Au (0.2534, 0.2534, 0.7702)
Au (0.5045, 0.5045, 0.5047)